Computed, not measured: a geometry-optimized Ba6PdS5 structure at the PBE level of DFT.

As for the calculated volume: 407.6 Å³/cell. For the total energy, the calculation gives -58.795 eV/cell. The uncorrected formation energy comes out at -1786 meV/atom.

Lattice parameters (Å, degrees): 7.9340 7.9340 7.9321 99.60 99.60 120.01
Closest atoms and distances in Å follow each position.
Element x y z (fractional)
Ba 0.0790 0.4163 0.7489  5 S 3.21-3.25, 1 Pd 3.27
Ba 0.2469 0.2469 0.2526  5 S 3.20-3.24, 1 Pd 3.28
Ba 0.4163 0.0790 0.7489  5 S 3.21-3.25, 1 Pd 3.27
Ba 0.5837 0.9210 0.2511  5 S 3.21-3.25, 1 Pd 3.27
Ba 0.7531 0.7531 0.7474  5 S 3.20-3.24, 1 Pd 3.28
Ba 0.9210 0.5837 0.2511  5 S 3.21-3.25, 1 Pd 3.27
Pd 0.5000 0.5000 0.0000  6 Ba 3.27-3.28
S 0.0000 0.0000 0.5000  6 Ba 3.20-3.25
S 0.1665 0.8335 0.0000  6 Ba 3.23-3.24
S 0.3330 0.6670 0.5000  6 Ba 3.21-3.25
S 0.6670 0.3330 0.5000  6 Ba 3.21-3.25
S 0.8335 0.1665 0.0000  6 Ba 3.23-3.24

Computed, not measured: a geometry-optimized BaPd2S3 structure at the PBE level of DFT.

As for the calculated volume: 274.5 Å³/cell. For the total energy, the calculation gives -58.635 eV/cell. The uncorrected formation energy comes out at -771 meV/atom.

Lattice parameters (Å, degrees): 7.4930 7.4930 7.4930 56.66 56.66 56.66
Closest atoms and distances in Å follow each position.
Element x y z (fractional)
Ba 0.1969 0.1969 0.1969  3 S 3.18, 3 Pd 3.29
Ba 0.8031 0.8031 0.8031  3 S 3.18, 3 Pd 3.29
Pd 0.0000 0.0000 0.0000  6 S 2.44
Pd 0.0000 0.5000 0.5000  4 S 2.41
Pd 0.5000 0.0000 0.5000  4 S 2.41
Pd 0.5000 0.5000 0.0000  4 S 2.41
S 0.2365 0.2365 0.7319  3 Pd 2.41-2.44
S 0.2365 0.7319 0.2365  3 Pd 2.41-2.44
S 0.2681 0.7635 0.7635  3 Pd 2.41-2.44
S 0.7319 0.2365 0.2365  3 Pd 2.41-2.44
S 0.7635 0.2681 0.7635  3 Pd 2.41-2.44
S 0.7635 0.7635 0.2681  3 Pd 2.41-2.44

Computed, not measured: a geometry-optimized BaPdS2 structure at the PBE level of DFT.

As for the calculated volume: 101.0 Å³/cell. For the total energy, the calculation gives -19.634 eV/cell. The uncorrected formation energy comes out at -1066 meV/atom.

Lattice parameters (Å, degrees): 4.8249 4.8249 4.3370 90.00 90.00 90.00
Closest atoms and distances in Å follow each position.
Element x y z (fractional)
Ba 0.0000 0.0000 0.0000  8 S 3.24
Pd 0.5000 0.5000 0.5000  4 S 2.41
S 0.0000 0.5000 0.5000  2 Pd 2.41
S 0.5000 0.0000 0.5000  2 Pd 2.41

Computed, not measured: a geometry-optimized BaPd3S structure at the PBE level of DFT.

As for the calculated volume: 150.7 Å³/cell. For the total energy, the calculation gives -15.809 eV/cell. The uncorrected formation energy comes out at 1164 meV/atom.

Lattice parameters (Å, degrees): 5.3216 5.3216 5.3216 90.00 90.00 90.00
Closest atoms and distances in Å follow each position.
Element x y z (fractional)
Ba 0.0000 0.0000 0.0000  6 Pd 2.66
Pd 0.0000 0.0000 0.5000  2 Ba 2.66
Pd 0.0000 0.5000 0.0000  2 Ba 2.66
Pd 0.5000 0.0000 0.0000  2 Ba 2.66
S 0.5000 0.5000 0.5000  12 Pd 3.76

Computed, not measured: a geometry-optimized BaPdS2 structure at the PBE level of DFT.

As for the calculated volume: 89.6 Å³/cell. For the total energy, the calculation gives -17.463 eV/cell. The uncorrected formation energy comes out at -523 meV/atom.

Lattice parameters (Å, degrees): 5.0221 5.0221 5.0221 60.00 60.00 60.00
Closest atoms and distances in Å follow each position.
Element x y z (fractional)
Ba 0.0000 0.0000 0.0000  8 S 3.08
Pd 0.5000 0.5000 0.5000  8 S 3.08
S 0.2500 0.2500 0.2500  4 Ba 3.08, 4 Pd 3.08
S 0.7500 0.7500 0.7500  4 Ba 3.08, 4 Pd 3.08

Computed, not measured: a geometry-optimized BaPdS3 structure at the PBE level of DFT.

As for the calculated volume: 113.9 Å³/cell. For the total energy, the calculation gives -23.136 eV/cell. The uncorrected formation energy comes out at -728 meV/atom.

Lattice parameters (Å, degrees): 4.8478 4.8478 4.8478 90.00 90.00 90.00
Closest atoms and distances in Å follow each position.
Element x y z (fractional)
Ba 0.0000 0.0000 0.0000  12 S 3.43
Pd 0.5000 0.5000 0.5000  6 S 2.42
S 0.0000 0.5000 0.5000  2 Pd 2.42
S 0.5000 0.0000 0.5000  2 Pd 2.42
S 0.5000 0.5000 0.0000  2 Pd 2.42

Computed, not measured: a geometry-optimized BaPd2S structure at the PBE level of DFT.

As for the calculated volume: 213.3 Å³/cell. For the total energy, the calculation gives -39.180 eV/cell. The uncorrected formation energy comes out at -789 meV/atom.

Lattice parameters (Å, degrees): 8.4965 8.4965 8.4965 143.74 143.74 52.22
Closest atoms and distances in Å follow each position.
Element x y z (fractional)
Ba 0.0000 0.0000 0.0000  8 Pd 3.51-3.52, 4 S 3.74
Ba 0.7500 0.2500 0.5000  8 Pd 3.51-3.52, 4 S 3.74
Pd 0.3734 0.6250 0.2484  2 S 2.32
Pd 0.3750 0.6234 0.7484  2 S 2.32
Pd 0.3766 0.1250 0.7516  2 S 2.32
Pd 0.8750 0.6266 0.2516  2 S 2.32
S 0.2500 0.7500 0.5000  4 Pd 2.32
S 0.5000 0.5000 0.0000  4 Pd 2.32

Computed, not measured: a geometry-optimized Ba12Pd3S5 structure at the PBE level of DFT.

As for the calculated volume: 3447.1 Å³/cell. For the total energy, the calculation gives -315.065 eV/cell. The uncorrected formation energy comes out at -974 meV/atom.

Lattice parameters (Å, degrees): 16.4826 16.4826 16.4826 109.47 109.47 109.47
Closest atoms and distances in Å follow each position.
Element x y z (fractional)
Ba 0.0419 0.2158 0.1309  2 S 2.96-3.17
Ba 0.0419 0.3261 0.9110  2 S 2.96-3.17
Ba 0.0849 0.7158 0.6739  2 S 2.96-3.17
Ba 0.0849 0.8691 0.4110  2 S 2.96-3.17
Ba 0.0890 0.6309 0.4151  2 S 2.96-3.17
Ba 0.0890 0.9581 0.6739  2 S 2.96-3.17
Ba 0.1309 0.0419 0.2158  2 S 2.96-3.17
Ba 0.1309 0.5890 0.9151  2 S 2.96-3.17
Ba 0.1739 0.2158 0.5849  2 S 2.96-3.17
Ba 0.1739 0.4581 0.5890  2 S 2.96-3.17
Ba 0.2158 0.1309 0.0419  2 S 2.96-3.17
Ba 0.2158 0.5849 0.1739  2 S 2.96-3.17
Ba 0.2842 0.3261 0.9151  2 S 2.96-3.17
Ba 0.2842 0.4581 0.3691  2 S 2.96-3.17
Ba 0.3261 0.9110 0.0419  2 S 2.96-3.17
Ba 0.3261 0.9151 0.2842  2 S 2.96-3.17
Ba 0.3691 0.2842 0.4581  2 S 2.96-3.17
Ba 0.3691 0.5849 0.9110  2 S 2.96-3.17
Ba 0.4110 0.0849 0.8691  2 S 2.96-3.17
Ba 0.4110 0.8261 0.5419  2 S 2.96-3.17
Ba 0.4151 0.0890 0.6309  2 S 2.96-3.17
Ba 0.4151 0.8261 0.7842  2 S 2.96-3.17
Ba 0.4581 0.3691 0.2842  2 S 2.96-3.17
Ba 0.4581 0.5890 0.1739  2 S 2.96-3.17
Ba 0.5419 0.4110 0.8261  2 S 2.96-3.17
Ba 0.5419 0.6309 0.7158  2 S 2.96-3.17
Ba 0.5849 0.1739 0.2158  2 S 2.96-3.17
Ba 0.5849 0.9110 0.3691  2 S 2.96-3.17
Ba 0.5890 0.1739 0.4581  2 S 2.96-3.17
Ba 0.5890 0.9151 0.1309  2 S 2.96-3.17
Ba 0.6309 0.4151 0.0890  2 S 2.96-3.17
Ba 0.6309 0.7158 0.5419  2 S 2.96-3.17
Ba 0.6739 0.0849 0.7158  2 S 2.96-3.17
Ba 0.6739 0.0890 0.9581  2 S 2.96-3.17
Ba 0.7158 0.5419 0.6309  2 S 2.96-3.17
Ba 0.7158 0.6739 0.0849  2 S 2.96-3.17
Ba 0.7842 0.4151 0.8261  2 S 2.96-3.17
Ba 0.7842 0.8691 0.9581  2 S 2.96-3.17
Ba 0.8261 0.5419 0.4110  2 S 2.96-3.17
Ba 0.8261 0.7842 0.4151  2 S 2.96-3.17
Ba 0.8691 0.4110 0.0849  2 S 2.96-3.17
Ba 0.8691 0.9581 0.7842  2 S 2.96-3.17
Ba 0.9110 0.0419 0.3261  2 S 2.96-3.17
Ba 0.9110 0.3691 0.5849  2 S 2.96-3.17
Ba 0.9151 0.1309 0.5890  2 S 2.96-3.17
Ba 0.9151 0.2842 0.3261  2 S 2.96-3.17
Ba 0.9581 0.6739 0.0890  2 S 2.96-3.17
Ba 0.9581 0.7842 0.8691  2 S 2.96-3.17
Pd 0.1250 0.2500 0.3750  8 Ba 3.56-3.61
Pd 0.1250 0.3750 0.7500  8 Ba 3.56-3.61
Pd 0.2500 0.3750 0.1250  8 Ba 3.56-3.61
Pd 0.2500 0.8750 0.6250  8 Ba 3.56-3.61
Pd 0.3750 0.1250 0.2500  8 Ba 3.56-3.61
Pd 0.3750 0.7500 0.1250  8 Ba 3.56-3.61
Pd 0.6250 0.2500 0.8750  8 Ba 3.56-3.61
Pd 0.6250 0.8750 0.7500  8 Ba 3.56-3.61
Pd 0.7500 0.1250 0.3750  8 Ba 3.56-3.61
Pd 0.7500 0.6250 0.8750  8 Ba 3.56-3.61
Pd 0.8750 0.6250 0.2500  8 Ba 3.56-3.61
Pd 0.8750 0.7500 0.6250  8 Ba 3.56-3.61
S 0.0000 0.0000 0.0000  6 Ba 3.17
S 0.0000 0.0000 0.5000  6 Ba 3.17
S 0.0000 0.5000 0.0000  6 Ba 3.17
S 0.0000 0.5000 0.5000  6 Ba 3.17
S 0.1250 0.7500 0.8750  4 Ba 2.96
S 0.1250 0.8750 0.2500  4 Ba 2.96
S 0.2500 0.1250 0.8750  4 Ba 2.96
S 0.2500 0.6250 0.3750  4 Ba 2.96
S 0.3750 0.2500 0.6250  4 Ba 2.96
S 0.3750 0.6250 0.7500  4 Ba 2.96
S 0.5000 0.0000 0.0000  6 Ba 3.17
S 0.5000 0.0000 0.5000  6 Ba 3.17
S 0.5000 0.5000 0.0000  6 Ba 3.17
S 0.5000 0.5000 0.5000  6 Ba 3.17
S 0.6250 0.3750 0.2500  4 Ba 2.96
S 0.6250 0.7500 0.3750  4 Ba 2.96
S 0.7500 0.3750 0.6250  4 Ba 2.96
S 0.7500 0.8750 0.1250  4 Ba 2.96
S 0.8750 0.1250 0.7500  4 Ba 2.96
S 0.8750 0.2500 0.1250  4 Ba 2.96

Computed, not measured: a geometry-optimized BaPd2S2 structure at the PBE level of DFT.

As for the calculated volume: 272.7 Å³/cell. For the total energy, the calculation gives -45.545 eV/cell. The uncorrected formation energy comes out at -442 meV/atom.

Lattice parameters (Å, degrees): 8.4717 8.4717 3.7992 90.00 90.00 90.00
Closest atoms and distances in Å follow each position.
Element x y z (fractional)
Ba 0.0000 0.0000 0.0000  4 S 3.12
Ba 0.5000 0.5000 0.0000  4 S 3.12
Pd 0.2168 0.2832 0.5000  2 S 2.29
Pd 0.2832 0.7832 0.5000  2 S 2.29
Pd 0.7168 0.2168 0.5000  2 S 2.29
Pd 0.7832 0.7168 0.5000  2 S 2.29
S 0.1758 0.6758 0.0000  2 Pd 2.29
S 0.3242 0.1758 0.0000  2 Pd 2.29
S 0.6758 0.8242 0.0000  2 Pd 2.29
S 0.8242 0.3242 0.0000  2 Pd 2.29

Computed, not measured: a geometry-optimized BaPdS2 structure at the PBE level of DFT.

As for the calculated volume: 211.4 Å³/cell. For the total energy, the calculation gives -40.483 eV/cell. The uncorrected formation energy comes out at -1218 meV/atom.

Lattice parameters (Å, degrees): 6.3803 6.3803 5.7305 90.00 90.00 115.02
Closest atoms and distances in Å follow each position.
Element x y z (fractional)
Ba 0.1515 0.8485 0.7500  8 S 3.18-3.44
Ba 0.8485 0.1515 0.2500  8 S 3.18-3.44
Pd 0.5000 0.5000 0.0000  4 S 2.39
Pd 0.5000 0.5000 0.5000  4 S 2.39
S 0.1700 0.3581 0.7500  2 Pd 2.39
S 0.3581 0.1700 0.2500  2 Pd 2.39
S 0.6419 0.8300 0.7500  2 Pd 2.39
S 0.8300 0.6419 0.2500  2 Pd 2.39